Entry 1:
# OsW3C

A relaxed structure of OsW3C (PBE, Alexandria).

Lattice parameters (Å, degrees): 4.1279 4.1279 4.1279 90.00 90.00 90.00
Last column: nearest neighbours and their distance in Å.
Fractional coordinates of all 5 atoms:
1 Os 0.0000 0.0000 0.0000  12 W 2.92
2 W 0.0000 0.5000 0.5000  2 C 2.06
3 W 0.5000 0.0000 0.5000  2 C 2.06
4 W 0.5000 0.5000 0.0000  2 C 2.06
5 C 0.5000 0.5000 0.5000  6 W 2.06

Calculated values
Magnetization (μB per atom): 0.000
N(E_F) (states/eV/cell): 4.15
Distance to the lowest polymorph of the same formula (eV/f.u.): 0.00
Space group: Pm-3m
Calculated total energy (eV per atom): -11.666



Entry 2:
# Y2Os2C3

A relaxed structure of Y2Os2C3 (PBE, Alexandria).

Lattice parameters (Å, degrees): 5.9744 5.9744 5.6294 112.70 112.70 33.27
Last column: nearest neighbours and their distance in Å.
Fractional coordinates of all 7 atoms:
1 Y 0.1096 0.1096 0.3196  5 C 2.40-2.56
2 Y 0.8904 0.8904 0.6804  5 C 2.40-2.56
3 Os 0.3430 0.3430 0.1788  4 C 1.97-2.10
4 Os 0.6570 0.6570 0.8212  4 C 1.97-2.10
5 C 0.2486 0.2486 0.7717  3 Os 2.08-2.10
6 C 0.5000 0.5000 0.5000  2 Os 1.97
7 C 0.7514 0.7514 0.2283  3 Os 2.08-2.10

Calculated values
Magnetization (μB per atom): 0.000
N(E_F) (states/eV/cell): 2.54
Space group: C2/m
Calculated total energy (eV per atom): -9.226



Entry 3:
# Y2OsC

A relaxed structure of Y2OsC (PBE, Alexandria).

Lattice parameters (Å, degrees): 5.9288 5.9288 5.9288 107.47 107.47 113.55
Last column: nearest neighbours and their distance in Å.
Fractional coordinates of all 8 atoms:
1 Y 0.0706 0.6250 0.9456  2 C 2.37
2 Y 0.3750 0.3206 0.4456  2 C 2.37
3 Y 0.6794 0.1250 0.0544  2 C 2.37
4 Y 0.8750 0.9294 0.5544  2 C 2.37
5 Os 0.2500 0.7500 0.5000  4 Y 2.88
6 Os 0.5000 0.5000 0.0000  4 Y 2.88
7 C 0.0000 0.0000 0.0000  4 Y 2.37
8 C 0.7500 0.2500 0.5000  4 Y 2.37

Calculated values
Magnetization (μB per atom): 0.029
N(E_F) (states/eV/cell): 6.30
Space group: I-42d
Calculated total energy (eV per atom): -7.723